# TmB4Os (GGA-PBEsol, relaxed)
# Mass density = 11.31 g cm⁻³
# Formation enthalpy at 0 K = -0.6584 eV per atom
# Fermi-level density of states = 0.13 states/eV/atom
# Final energy = -196.5 eV/cell
data_TmB4Os
_space_group_name_H-M_alt 'P b a m'
_space_group_IT_number 55
_cell_length_a 5.902
_cell_length_b 11.417
_cell_length_c 3.507
_cell_angle_alpha 90.00
_cell_angle_beta 90.00
_cell_angle_gamma 90.00
loop_
_space_group_symop_operation_xyz
'x,y,z'
'-x,-y,-z'
'-x,-y,z'
'x,y,-z'
'x+1/2,-y+1/2,-z'
'-x+1/2,y+1/2,z'
'-x+1/2,y+1/2,-z'
'x+1/2,-y+1/2,z'
loop_
_atom_site_label
_atom_site_type_symbol
_atom_site_fract_x
_atom_site_fract_y
_atom_site_fract_z
Tm1 Tm 0.129 0.150 0.000
B1 B 0.024 0.693 0.500
B2 B 0.113 0.547 0.500
B3 B 0.135 0.970 0.500
B4 B 0.209 0.814 0.500
Os1 Os 0.141 0.406 0.000